Material: DyPaMn
Method: DFT, GGA-PBE
State: relaxed

Summary:
- SG = No. 107
- polymorph energy (0 for the lowest one) (kJ per mole of atoms) = 5.0
- magnetization (μB per formula unit) = 0.00

abc: 6.1238 6.1238 6.1238
angles: 148.16 148.16 45.66
Fractional positions:
Dy1 0.0000 0.0000 0.0000
Pa1 0.2923 0.2923 0.0000
Mn1 0.6910 0.6910 0.0000

=====

Material: DyPaMn17
Method: DFT, GGA-PBE
State: relaxed

Summary:
- SG = No. 160
- magnetization (μB per formula unit) = 5.62

abc: 6.2994 6.2994 6.2994
angles: 86.13 86.13 86.13
Fractional positions:
Dy1 0.0000 0.0000 0.0000
Pa1 0.2947 0.2947 0.2947
Mn1 0.0051 0.0051 0.5147
Mn2 0.0051 0.5147 0.0051
Mn3 0.1462 0.6503 0.6503
Mn4 0.2893 0.2893 0.7684
Mn5 0.2893 0.7684 0.2893
Mn6 0.3738 0.6457 0.9212
Mn7 0.3738 0.9212 0.6457
Mn8 0.5147 0.0051 0.0051
Mn9 0.5429 0.5429 0.5429
Mn10 0.6457 0.3738 0.9212
Mn11 0.6457 0.9212 0.3738
Mn12 0.6503 0.1462 0.6503
Mn13 0.6503 0.6503 0.1462
Mn14 0.7452 0.7452 0.7452
Mn15 0.7684 0.2893 0.2893
Mn16 0.9212 0.3738 0.6457
Mn17 0.9212 0.6457 0.3738

=====

Looking at formation energy for the records above, in order, we have 0.065 -0.005 eV/atom.
Looking at DOS at the Fermi energy for the records above, in order, we have 3.5 20.7 states/eV per cell.
Looking at ρ for the records above, in order, we have 11.69 8.88 g cm⁻³.